Computed, not measured: an optimized crystal structure of Ba2Hg12Au at the GGA-PBE level of DFT.

abc: 7.2471 7.2471 17.0575
angles: 90.00 90.00 90.00
Atoms (fractional coordinates):
Ba 0.5000 0.0000 0.2353
Ba 0.0000 0.5000 0.2353
Ba 0.0000 0.5000 0.7647
Ba 0.5000 0.0000 0.7647
Hg 0.5000 0.5000 0.8175
Hg 0.0000 0.0000 0.8175
Hg 0.7497 0.7503 0.9126
Hg 0.2497 0.7497 0.9126
Hg 0.0000 0.0000 0.3552
Hg 0.2503 0.7503 0.0874
Hg 0.8449 0.3449 0.5694
Hg 0.5000 0.5000 0.3552
Hg 0.2503 0.2497 0.9126
Hg 0.7503 0.7497 0.0874
Hg 0.3449 0.1551 0.5694
Hg 0.6551 0.1551 0.4306
Hg 0.0000 0.0000 0.6448
Hg 0.1551 0.3449 0.4306
Hg 0.2497 0.2503 0.0874
Hg 0.8449 0.6551 0.4306
Hg 0.6551 0.8449 0.5694
Hg 0.0000 0.0000 0.1825
Hg 0.1551 0.6551 0.5694
Hg 0.5000 0.5000 0.6448
Hg 0.7503 0.2503 0.9126
Hg 0.5000 0.5000 0.1825
Hg 0.3449 0.8449 0.4306
Hg 0.7497 0.2497 0.0874
Au 0.5000 0.0000 0.0000
Au 0.0000 0.5000 0.0000

Calculated values
Magnetic moment (μB per formula unit): 0.00
Raw total energy (eV/atom): -0.942